VASP calculation (PBE) on a relaxed structure of TaAlZn2.

Summary:
- Formation energy from the elements: -4 meV per atom
- V: 16.1 Å³ per atom

CIF file:
```
data_TaAlZn2
_chemical_formula_sum 'Ta2 Al2 Zn4'
_space_group_name_H-M_alt 'C 1 2/m 1'
_space_group_IT_number 12
_cell_length_a 5.5228
_cell_length_b 9.2854
_cell_length_c 2.7465
_cell_angle_alpha 90.00
_cell_angle_beta 114.03
_cell_angle_gamma 90.00
loop_
_space_group_symop_operation_xyz
'x,y,z'
'-x,-y,-z'
'-x,y,-z'
'x,-y,z'
'x+1/2,y+1/2,z'
'-x+1/2,-y+1/2,-z'
'-x+1/2,y+1/2,-z'
'x+1/2,-y+1/2,z'
loop_
_atom_site_label
_atom_site_type_symbol
_atom_site_fract_x
_atom_site_fract_y
_atom_site_fract_z
Ta1 Ta 0.0000 0.0000 0.0000
Al1 Al 0.0000 0.5000 0.0000
Zn1 Zn 0.2500 0.2500 0.5000
```